Density functional theory data (PBE) for crystalline MnCrC at its relaxed geometry.

```
MnCrC
1.0
4.871 0.000 0.003
0.000 2.646 0.000
-1.455 0.000 4.338
Cr C Mn
2 2 2
direct
0.859 0.000 0.135
0.859 0.500 0.635
0.150 0.000 0.900
0.150 0.500 0.400
0.418 0.000 0.325
0.418 0.500 0.825
```

Calculated values
calculated volume = 9.322 Å³/atom
formation energy = 7.2 kJ/mol of atoms
M_tot = 0.000 μB per atom

---

Density functional theory data (PBE) for crystalline SrB2F8 at its relaxed geometry.

```
SrB2F8
1.0
-0.007 -0.385 5.403
2.088 -5.496 -0.389
3.728 4.551 0.329
Sr B F
1 2 8
direct
0.500 0.000 0.000
0.835 0.667 0.333
0.165 0.333 0.667
0.911 0.333 0.667
0.089 0.667 0.333
0.260 0.202 0.405
0.740 0.798 0.595
0.740 0.405 0.202
0.260 0.595 0.798
0.260 0.202 0.798
0.740 0.798 0.202
```

Calculated values
calculated volume = 14.803 Å³/atom
ΔE_f (raw) = -3.21 eV per atom
M_tot = 0.011 μB per atom

---

Density functional theory data (PBE) for crystalline BeFeBIr at its relaxed geometry.

```
BeFeBIr
1.0
-0.087 2.459 -2.851
-3.299 1.311 -1.256
-0.966 3.584 0.633
Be B Ir Fe
1 1 1 1
direct
0.500 0.500 0.500
0.000 0.000 0.000
0.750 0.750 0.750
0.250 0.250 0.250
```

Calculated values
calculated volume = 9.439 Å³/atom
formation energy = -20.0 kJ/mol of atoms
M_tot = 0.187 μB per atom

---

Density functional theory data (PBE) for crystalline LaHo6In2 at its relaxed geometry.

```
LaHo6In2
1.0
6.219 0.000 0.000
0.000 6.219 0.000
-3.110 -3.110 7.608
La Ho In
1 6 2
direct
0.500 0.500 0.000
0.904 0.266 0.170
0.734 0.734 0.830
0.266 0.904 0.170
0.096 0.096 0.830
0.750 0.250 0.500
0.250 0.750 0.500
0.281 0.281 0.562
0.719 0.719 0.438
```

Calculated values
calculated volume = 32.696 Å³/atom
formation energy = 27.4 kJ/mol of atoms
M_tot = 0.008 μB per atom

---

Q: Number 3 is which compound?
A: BeFeBIr